Entry 1:
Material: MgTi2NbBi
Method: DFT, GGA-PBEsol
State: optimized geometry

POSCAR file:
```
MgTi2NbBi
1.0
4.694 0.000 0.000
0.000 4.694 0.000
0.000 0.000 4.811
Mg Ti Nb Bi
1 2 1 1
direct
0.000 0.000 0.000 Mg
0.000 0.500 0.000 Ti
0.500 0.000 0.000 Ti
0.000 0.000 0.500 Nb
0.500 0.500 0.500 Bi
```

Computed properties:
Crystal system: tetragonal
Volume: 106.0 Å³/cell
ΔE_f: 1.15 eV per atom
DOS at the Fermi energy: 0.94 states/eV per atom


Entry 2:
Material: In2RePb
Method: DFT, GGA-PBEsol
State: optimized geometry

POSCAR file:
```
In2RePb
1.0
-1.469 2.371 6.779
1.469 -2.371 6.779
1.469 2.371 -6.779
In Re Pb
2 1 1
direct
0.000 0.000 0.000 In
0.679 0.179 0.500 In
0.501 0.501 0.000 Re
0.312 0.812 0.500 Pb
```

Computed properties:
Crystal system: orthorhombic
Volume: 94.5 Å³/cell
ΔE_f: 0.44 eV per atom
DOS at the Fermi energy: 0.65 states/eV per atom


Entry 3:
Material: HoSi2Ir2
Method: DFT, GGA-PBEsol
State: optimized geometry

POSCAR file:
```
HoSi2Ir2
1.0
-2.018 2.018 4.929
2.018 -2.018 4.929
2.018 2.018 -4.929
Ho Si Ir
1 2 2
direct
0.000 0.000 0.000 Ho
0.379 0.379 0.000 Si
0.621 0.621 0.000 Si
0.250 0.750 0.500 Ir
0.750 0.250 0.500 Ir
```

Computed properties:
Crystal system: tetragonal
Volume: 80.3 Å³/cell
Energy relative to the elements, uncorrected: -1.1222 eV per atom
DOS at the Fermi energy: 0.37 states/eV per atom


Entry 4:
Material: Ta2BiS
Method: DFT, GGA-PBEsol
State: optimized geometry

POSCAR file:
```
Ta2BiS
1.0
0.000 3.296 3.296
3.296 0.000 3.296
3.296 3.296 0.000
Ta Bi S
2 1 1
direct
0.250 0.250 0.250 Ta
0.750 0.750 0.750 Ta
0.000 0.000 0.000 Bi
0.500 0.500 0.500 S
```

Computed properties:
Crystal system: cubic
Volume: 71.6 Å³/cell
Energy relative to the elements, uncorrected: 0.2432 eV per atom
DOS at the Fermi energy: 0.91 states/eV per atom